Here is crystalline KRb2TiF8 at its relaxed geometry from Alexandria. Energies are from PBE.

Unit cell a=6.0208 b=6.0208 c=7.6398 alpha=90.00 beta=90.00 gamma=120.00
Closest atoms and distances in Å follow each position.
Sites, in units of the cell vectors:
K 0.0000 0.0000 0.0000  12 F 3.11-3.48
Rb 0.3333 0.6667 0.3413  1 F 2.68
Rb 0.6667 0.3333 0.6587  1 F 2.68
Ti 0.0000 0.0000 0.5000  6 F 1.89
F 0.1468 0.2936 0.6451  1 Ti 1.89
F 0.1468 0.8532 0.6451  1 Ti 1.89
F 0.2936 0.1468 0.3549  1 Ti 1.89
F 0.3333 0.6667 0.9902  1 Rb 2.68
F 0.6667 0.3333 0.0098  1 Rb 2.68
F 0.7064 0.8532 0.6451  1 Ti 1.89
F 0.8532 0.1468 0.3549  1 Ti 1.89
F 0.8532 0.7064 0.3549  1 Ti 1.89

electronic total energy: -4.96 eV per atom
total magnetization: 1.00 μB/cell

=====

Here is crystalline KRbTiF2 at its relaxed geometry from Alexandria. Energies are from PBE.

Unit cell a=4.4994 b=4.4994 c=6.5632 alpha=90.00 beta=90.00 gamma=90.00
Closest atoms and distances in Å follow each position.
Sites, in units of the cell vectors:
K 0.0000 0.0000 0.0000  4 Rb 3.18, 2 Ti 3.28
Rb 0.5000 0.5000 0.0000  4 K 3.18
Ti 0.0000 0.0000 0.5000  4 F 2.25
F 0.0000 0.5000 0.5000  2 Ti 2.25
F 0.5000 0.0000 0.5000  2 Ti 2.25

electronic total energy: -3.75 eV per atom
total magnetization: 2.10 μB/cell

=====

Here is crystalline KRb2Tl3F6 at its relaxed geometry from Alexandria. Energies are from PBE.

Unit cell a=8.9786 b=8.9786 c=8.0263 alpha=103.20 beta=103.20 gamma=25.61
Closest atoms and distances in Å follow each position.
Sites, in units of the cell vectors:
K 0.0000 0.0000 0.0000  6 F 2.66-2.76
Rb 0.3335 0.3335 0.6716  6 F 2.83-2.89
Rb 0.6665 0.6665 0.3284  6 F 2.83-2.89
Tl 0.0000 0.0000 0.5000  6 F 2.80-2.89
Tl 0.3376 0.3376 0.1644  5 F 2.71-2.88
Tl 0.6624 0.6624 0.8356  5 F 2.71-2.88
F 0.1563 0.1563 0.0723  1 K 2.66, 2 Tl 2.77, 2 Rb 2.84
F 0.1645 0.1645 0.5780  3 Tl 2.80-2.88, 3 Rb 2.83-2.88
F 0.4966 0.4966 0.2370  3 Tl 2.71-2.89, 2 K 2.76, 1 Rb 2.89
F 0.5034 0.5034 0.7630  3 Tl 2.71-2.89, 2 K 2.76, 1 Rb 2.89
F 0.8355 0.8355 0.4220  3 Tl 2.80-2.88, 3 Rb 2.83-2.88
F 0.8437 0.8437 0.9277  1 K 2.66, 2 Tl 2.77, 2 Rb 2.84

electronic total energy: -3.99 eV per atom
total magnetization: 0.00 μB/cell